Record 1
CuTc2Ag | Alexandria | PBE | optimized geometry; DFT formation energy = 0.7198 eV per atom; space group = I-42d, No. 122; energy above the lowest structure with this stoichiometry = 1.81 eV per formula unit
1.0
-2.9207 1.6236 1.3984
-0.4182 -2.7505 2.3200
4.0111 4.0562 8.3600
Cu Tc Ag
2 4 2
Direct
0.5000 0.5000 0.0000
0.2500 0.7500 0.5000
0.5878 0.1250 0.2500
0.1622 0.6250 0.2500
0.3750 0.4122 0.7500
0.8750 0.8378 0.7500
0.0000 0.0000 0.0000
0.7500 0.2500 0.5000



Record 2
Rb2CoW | Alexandria | PBE | optimized geometry; DFT formation energy = 1.5715 eV per atom; space group = I-42d, No. 122; energy above the lowest structure with this stoichiometry = 0.00 eV per formula unit
1.0
13.0287 0.0000 0.0000
0.0000 13.0287 0.0000
6.5144 6.5144 2.2434
Co Rb W
2 4 2
Direct
0.5000 0.5000 0.0000
0.2500 0.7500 0.5000
0.4439 0.1250 0.2500
0.3061 0.6250 0.2500
0.3750 0.5561 0.7500
0.8750 0.6939 0.7500
0.0000 0.0000 0.0000
0.7500 0.2500 0.5000



Record 3
CuSi5 | Alexandria | PBE | optimized geometry; space group = P4/mmm, No. 123; energy above the lowest structure with this stoichiometry = 0.69 eV per formula unit
1.0
-2.6201 -0.4860 -0.4540
0.5378 -2.6339 -0.2838
-1.6669 -1.5564 11.2852
Cu Si
1 5
Direct
0.5000 0.5000 0.0000
0.0000 0.0000 0.8458
0.0000 0.0000 0.1542
0.5000 0.5000 0.6710
0.5000 0.5000 0.3290
0.0000 0.0000 0.5000



Record 4
AlGeAu | Alexandria | PBE | optimized geometry; DFT formation energy = -0.1348 eV per atom; space group = R-3m, No. 166
1.0
4.3521 0.1497 0.0102
-2.3037 3.6947 -0.0103
-4.4517 2.3719 7.2160
Ge Au Al
2 2 2
Direct
0.7035 0.8868 0.7768
0.2064 0.3845 0.0298
0.9659 0.6248 0.1694
0.9439 0.6464 0.6371
0.2032 0.3871 0.5258
0.7065 0.8841 0.2807



Record 5
KV3N | Alexandria | PBE | optimized geometry; space group = Pm-3m, No. 221; energy above the lowest structure with this stoichiometry = 13.33 eV per formula unit
1.0
-1.7451 -3.0223 -2.3666
-2.2994 -1.2587 3.3029
-3.0737 2.6575 -1.1272
K V N
1 3 1
Direct
0.0000 0.0000 0.0000
0.0000 0.5000 0.0000
0.0000 0.0000 0.5000
0.5000 0.0000 0.0000
0.5000 0.5000 0.5000



Record 6
TaSiNi | Alexandria | PBE | optimized geometry; space group = I4mm, No. 107; E = -8.07 eV/atom
1.0
-0.4161 3.1844 -4.2545
-3.9999 2.5149 -2.4678
2.4944 -1.2278 4.5480
Ni Si Ta
1 1 1
Direct
0.9744 0.9744 0.0000
0.3571 0.3571 0.0000
0.6685 0.6685 0.0000



Record 7
BaCo2Si | Alexandria | PBE | optimized geometry; space group = Imm2, No. 44; E = -5.17 eV/atom
1.0
-0.3859 -6.5236 1.0053
1.4076 -3.7484 5.2617
-3.0670 5.3794 -2.3178
Ba Co Si
1 2 1
Direct
0.2924 0.7924 0.5000
0.0407 0.0407 0.0000
0.6326 0.1326 0.5000
0.5343 0.5343 0.0000



Record 8
LaCoIr2 | Alexandria | PBE | optimized geometry; DFT formation energy = 0.0305 eV per atom; space group = P4/mmm, No. 123
1.0
-2.3389 -0.3827 -3.3192
-1.0850 -3.7484 1.1968
-3.2326 1.6039 2.0929
Co Ir La
1 2 1
Direct
0.0000 0.5000 0.5000
0.0000 0.0000 0.0000
0.5000 0.5000 0.0000
0.5000 0.0000 0.5000